1.
K2NpInS5: relaxed, PBE.

Cell lengths 9.3677, 9.3677, 14.1142 Å; angles 90.00, 90.00, 154.98 degrees
Closest atoms and distances in Å follow each position.
Fractional coordinates of all 18 atoms:
K (0.0995, 0.9005, 0.5000)  6 S 3.16-3.51
K (0.1291, 0.8709, 0.1447)  5 S 3.15-3.37
K (0.8709, 0.1291, 0.6447)  5 S 3.15-3.37
K (0.9005, 0.0995, 0.0000)  6 S 3.16-3.51
Np (0.2149, 0.7851, 0.8561)  5 S 2.44-2.71
Np (0.7851, 0.2149, 0.3561)  5 S 2.44-2.71
In (0.4383, 0.5617, 0.2592)  4 S 2.35-2.60
In (0.5617, 0.4383, 0.7592)  4 S 2.35-2.60
S (0.0646, 0.9354, 0.8705)  2 In 2.57, 1 Np 2.76
S (0.2828, 0.7172, 0.4745)  2 Np 2.63
S (0.2978, 0.7022, 0.2304)  1 In 2.60, 2 Np 2.71
S (0.3471, 0.6529, 0.8333)  1 Np 2.44
S (0.4999, 0.5001, 0.1134)  1 In 2.35
S (0.5001, 0.4999, 0.6134)  1 In 2.35
S (0.6529, 0.3471, 0.3333)  1 Np 2.44
S (0.7022, 0.2978, 0.7304)  1 In 2.60, 2 Np 2.71
S (0.7172, 0.2828, 0.9745)  2 Np 2.63
S (0.9354, 0.0646, 0.3705)  2 In 2.57, 1 Np 2.76

* calculated density: 3.74 g cm⁻³
* energy relative to the elements, uncorrected: -1.04 eV/atom
* symmetry: Cmc2_1, No. 36
* total moment: 1.99 μB/f.u.

=====

2.
K4Np3InS8: relaxed, PBE.

Cell lengths 8.6996, 8.6996, 8.6996 Å; angles 56.68, 56.68, 56.68 degrees
Closest atoms and distances in Å follow each position.
Fractional coordinates of all 16 atoms:
K (0.0000, 0.0000, 0.0000)  6 S 3.20
K (0.0000, 0.5000, 0.5000)  6 S 3.23-3.27
K (0.5000, 0.0000, 0.5000)  6 S 3.23-3.27
K (0.5000, 0.5000, 0.0000)  6 S 3.23-3.27
Np (0.0000, 0.0000, 0.5000)  6 S 2.76-2.79
Np (0.0000, 0.5000, 0.0000)  6 S 2.76-2.79
Np (0.5000, 0.0000, 0.0000)  6 S 2.76-2.79
In (0.5000, 0.5000, 0.5000)  6 S 2.84
S (0.2238, 0.7371, 0.7371)  2 Np 2.76, 1 In 2.84
S (0.2332, 0.2332, 0.2332)  3 Np 2.79
S (0.2629, 0.2629, 0.7762)  2 Np 2.76, 1 In 2.84
S (0.2629, 0.7762, 0.2629)  2 Np 2.76, 1 In 2.84
S (0.7371, 0.2238, 0.7371)  2 Np 2.76, 1 In 2.84
S (0.7371, 0.7371, 0.2238)  2 Np 2.76, 1 In 2.84
S (0.7668, 0.7668, 0.7668)  3 Np 2.79
S (0.7762, 0.2629, 0.2629)  2 Np 2.76, 1 In 2.84

* calculated density: 4.79 g cm⁻³
* energy relative to the elements, uncorrected: -1.25 eV/atom
* symmetry: R-3m, No. 166
* total moment: 11.22 μB/f.u.

=====

3.
KNpInS4: relaxed, PBE.

Cell lengths 8.3508, 8.3508, 8.3508 Å; angles 123.25, 119.83, 87.38 degrees
Closest atoms and distances in Å follow each position.
Fractional coordinates of all 14 atoms:
K (0.3886, 0.1386, 0.2500)  4 S 2.94
K (0.6114, 0.8614, 0.7500)  4 S 2.94
Np (0.0000, 0.5000, 0.5000)  6 S 2.69-2.77
Np (0.5000, 0.5000, 0.0000)  6 S 2.69-2.77
In (0.0000, 0.0000, 0.5000)  6 S 2.64-2.86
In (0.0000, 0.5000, 0.0000)  6 S 2.64-2.86
S (0.1837, 0.7276, 0.4561)  2 In 2.64, 1 Np 2.77, 1 K 2.94
S (0.2284, 0.2724, 0.9561)  2 In 2.64, 1 Np 2.77, 1 K 2.94
S (0.2359, 0.2735, 0.5376)  2 Np 2.69, 1 In 2.86, 1 K 2.94
S (0.2359, 0.6982, 0.9624)  2 Np 2.69, 1 In 2.86, 1 K 2.94
S (0.7641, 0.3018, 0.0376)  2 Np 2.69, 1 In 2.86, 1 K 2.94
S (0.7641, 0.7265, 0.4624)  2 Np 2.69, 1 In 2.86, 1 K 2.94
S (0.7716, 0.7276, 0.0439)  2 In 2.64, 1 Np 2.77, 1 K 2.94
S (0.8163, 0.2724, 0.5439)  2 In 2.64, 1 Np 2.77, 1 K 2.94

* calculated density: 4.30 g cm⁻³
* energy relative to the elements, uncorrected: -0.97 eV/atom
* symmetry: Imma, No. 74
* total moment: 3.00 μB/f.u.

=====

4.
K2NpInSe4: relaxed, PBE.

Cell lengths 8.7693, 8.7693, 8.7693 Å; angles 120.56, 119.67, 89.81 degrees
Closest atoms and distances in Å follow each position.
Fractional coordinates of all 16 atoms:
K (0.0000, 0.0000, 0.0000)  6 Se 3.27-3.30
K (0.5000, 0.0000, 0.0000)  6 Se 3.30-3.34
K (0.5000, 0.0000, 0.5000)  6 Se 3.27-3.30
K (0.5000, 0.5000, 0.5000)  6 Se 3.30-3.34
Np (0.0000, 0.0000, 0.5000)  6 Se 2.89-2.91
Np (0.0000, 0.5000, 0.0000)  6 Se 2.89-2.91
In (0.0000, 0.5000, 0.5000)  6 Se 2.92-2.97
In (0.5000, 0.5000, 0.0000)  6 Se 2.92-2.97
Se (0.2067, 0.7381, 0.4686)  2 Np 2.91, 1 In 2.97
Se (0.2305, 0.2619, 0.9686)  2 Np 2.91, 1 In 2.97
Se (0.2320, 0.2629, 0.5308)  1 Np 2.89, 2 In 2.92
Se (0.2320, 0.7012, 0.9692)  1 Np 2.89, 2 In 2.92
Se (0.7680, 0.2988, 0.0308)  1 Np 2.89, 2 In 2.92
Se (0.7680, 0.7371, 0.4692)  1 Np 2.89, 2 In 2.92
Se (0.7695, 0.7381, 0.0314)  2 Np 2.91, 1 In 2.97
Se (0.7933, 0.2619, 0.5314)  2 Np 2.91, 1 In 2.97

* calculated density: 5.20 g cm⁻³
* energy relative to the elements, uncorrected: -1.02 eV/atom
* symmetry: Imma, No. 74
* total moment: 3.70 μB/f.u.

=====

5.
K3Np2InSe6: relaxed, PBE.

Cell lengths 7.5057, 7.5057, 7.9433 Å; angles 99.05, 99.05, 119.93 degrees
Closest atoms and distances in Å follow each position.
Fractional coordinates of all 12 atoms:
K (0.0000, 0.0000, 0.0000)  6 Se 3.25-3.41
K (0.3412, 0.6588, 0.0000)  6 Se 3.30-3.42
K (0.6588, 0.3412, 0.0000)  6 Se 3.30-3.42
Np (0.1675, 0.8325, 0.5000)  6 Se 2.87
Np (0.8325, 0.1675, 0.5000)  6 Se 2.87
In (0.5000, 0.5000, 0.5000)  6 Se 3.06-3.08
Se (0.0767, 0.4315, 0.2957)  2 Np 2.87, 1 In 3.08
Se (0.2133, 0.2133, 0.7018)  2 Np 2.87, 1 In 3.06
Se (0.4315, 0.0767, 0.2957)  2 Np 2.87, 1 In 3.08
Se (0.5685, 0.9233, 0.7043)  2 Np 2.87, 1 In 3.08
Se (0.7867, 0.7867, 0.2982)  2 Np 2.87, 1 In 3.06
Se (0.9233, 0.5685, 0.7043)  2 Np 2.87, 1 In 3.08

* calculated density: 5.32 g cm⁻³
* energy relative to the elements, uncorrected: -1.11 eV/atom
* symmetry: C2/m, No. 12
* total moment: 6.57 μB/f.u.

=====

6.
K2Np2InSe6: relaxed, PBE.

Cell lengths 7.2434, 7.2434, 8.1526 Å; angles 98.19, 98.19, 120.25 degrees
Closest atoms and distances in Å follow each position.
Fractional coordinates of all 11 atoms:
K (0.1646, 0.8354, 0.0000)  6 Se 3.35-3.38
K (0.8354, 0.1646, 0.0000)  6 Se 3.35-3.38
Np (0.3334, 0.6666, 0.5000)  6 Se 2.85-2.87
Np (0.6666, 0.3334, 0.5000)  6 Se 2.85-2.87
In (0.0000, 0.0000, 0.5000)  6 Se 2.83-2.89
Se (0.0638, 0.4012, 0.6989)  2 Np 2.85-2.86, 1 In 2.89
Se (0.2654, 0.2654, 0.3036)  1 In 2.83, 2 Np 2.87
Se (0.4012, 0.0638, 0.6989)  2 Np 2.85-2.86, 1 In 2.89
Se (0.5988, 0.9362, 0.3011)  2 Np 2.85-2.86, 1 In 2.89
Se (0.7346, 0.7346, 0.6964)  1 In 2.83, 2 Np 2.87
Se (0.9362, 0.5988, 0.3011)  2 Np 2.85-2.86, 1 In 2.89

* calculated density: 5.35 g cm⁻³
* energy relative to the elements, uncorrected: -1.06 eV/atom
* symmetry: C2/m, No. 12
* total moment: 7.00 μB/f.u.

=====

7.
KInO2: relaxed, PBE.

Cell lengths 5.9589, 5.9188, 6.0530 Å; angles 59.69, 59.04, 61.27 degrees
Closest atoms and distances in Å follow each position.
Fractional coordinates of all 8 atoms:
K (0.0000, 0.0000, 0.0000)  4 O 2.72-2.73
K (0.2500, 0.2500, 0.2500)  4 O 2.72-2.73
In (0.4962, 0.4962, 0.5038)  4 O 2.09
In (0.7462, 0.7462, 0.7538)  4 O 2.09
O (0.1184, 0.6184, 0.7974)  2 In 2.09
O (0.4526, 0.7843, 0.1316)  2 In 2.09
O (0.6184, 0.1184, 0.4657)  2 In 2.09
O (0.7843, 0.4526, 0.6316)  2 In 2.09

* calculated density: 4.09 g cm⁻³
* energy relative to the elements, uncorrected: -1.52 eV/atom
* symmetry: Fdd2, No. 43
* total moment: 0.00 μB/f.u.

=====

8.
KInO2: relaxed, PBE.

Cell lengths 6.8026, 6.8026, 12.9930 Å; angles 97.31, 97.31, 89.99 degrees
Closest atoms and distances in Å follow each position.
Fractional coordinates of all 32 atoms:
K (0.1561, 0.7820, 0.6234)  6 O 2.83-2.94
K (0.2180, 0.8439, 0.8766)  6 O 2.83-2.94
K (0.2193, 0.3465, 0.8881)  6 O 2.73-2.99
K (0.3465, 0.2193, 0.3881)  6 O 2.73-2.99
K (0.6535, 0.7807, 0.6119)  6 O 2.73-2.99
K (0.7807, 0.6535, 0.1119)  6 O 2.73-2.99
K (0.7820, 0.1561, 0.1234)  6 O 2.83-2.94
K (0.8439, 0.2180, 0.3766)  6 O 2.83-2.94
In (0.0892, 0.7121, 0.3499)  4 O 2.08-2.10
In (0.2884, 0.4146, 0.1517)  4 O 2.09-2.10
In (0.2879, 0.9108, 0.1501)  4 O 2.08-2.10
In (0.4146, 0.2884, 0.6517)  4 O 2.09-2.10
In (0.5854, 0.7116, 0.3483)  4 O 2.09-2.10
In (0.7121, 0.0892, 0.8499)  4 O 2.08-2.10
In (0.7116, 0.5854, 0.8483)  4 O 2.09-2.10
In (0.9108, 0.2879, 0.6501)  4 O 2.08-2.10
O (0.0663, 0.9337, 0.2500)  2 In 2.10
O (0.0666, 0.4405, 0.2512)  2 In 2.10
O (0.1407, 0.2640, 0.5581)  2 In 2.08-2.09
O (0.2624, 0.6386, 0.0543)  2 In 2.09
O (0.2640, 0.1407, 0.0581)  2 In 2.08-2.09
O (0.3614, 0.7376, 0.4457)  2 In 2.09
O (0.4401, 0.5599, 0.7500)  2 In 2.10
O (0.4405, 0.0666, 0.7512)  2 In 2.10
O (0.5595, 0.9334, 0.2488)  2 In 2.10
O (0.5599, 0.4401, 0.2500)  2 In 2.10
O (0.6386, 0.2624, 0.5543)  2 In 2.09
O (0.7360, 0.8593, 0.9419)  2 In 2.08-2.09
O (0.7376, 0.3614, 0.9457)  2 In 2.09
O (0.8593, 0.7360, 0.4419)  2 In 2.08-2.09
O (0.9334, 0.5595, 0.7488)  2 In 2.10
O (0.9337, 0.0663, 0.7500)  2 In 2.10

* calculated density: 4.18 g cm⁻³
* energy relative to the elements, uncorrected: -1.50 eV/atom
* symmetry: C2/c, No. 15
* total moment: 0.00 μB/f.u.

=====

9.
KInO2: relaxed, PBE.

Cell lengths 6.6777, 3.2575, 13.3423 Å; angles 90.00, 90.00, 90.00 degrees
Closest atoms and distances in Å follow each position.
Fractional coordinates of all 16 atoms:
K (0.0760, 0.2500, 0.1245)  4 O 2.57-2.87
K (0.4240, 0.7500, 0.6245)  4 O 2.57-2.87
K (0.5760, 0.2500, 0.3755)  4 O 2.57-2.87
K (0.9240, 0.7500, 0.8755)  4 O 2.57-2.87
In (0.0446, 0.7500, 0.3988)  5 O 2.11-2.26
In (0.4554, 0.2500, 0.8988)  5 O 2.11-2.26
In (0.5446, 0.7500, 0.1012)  5 O 2.11-2.26
In (0.9554, 0.2500, 0.6012)  5 O 2.11-2.26
O (0.0414, 0.7500, 0.6921)  2 In 2.11
O (0.2015, 0.2500, 0.4864)  3 In 2.25-2.26
O (0.2985, 0.7500, 0.9864)  3 In 2.25-2.26
O (0.4586, 0.2500, 0.1921)  2 In 2.11
O (0.5414, 0.7500, 0.8079)  2 In 2.11
O (0.7015, 0.2500, 0.0136)  3 In 2.25-2.26
O (0.7985, 0.7500, 0.5136)  3 In 2.25-2.26
O (0.9586, 0.2500, 0.3079)  2 In 2.11

* calculated density: 4.25 g cm⁻³
* energy relative to the elements, uncorrected: -1.43 eV/atom
* symmetry: Pnma, No. 62
* total moment: 0.00 μB/f.u.

=====

10.
K3InO3: relaxed, PBE.

Cell lengths 7.4879, 6.9675, 11.2663 Å; angles 90.00, 93.30, 90.00 degrees
Closest atoms and distances in Å follow each position.
Fractional coordinates of all 28 atoms:
K (0.0728, 0.1277, 0.1595)  3 O 2.71-2.83
K (0.0728, 0.3723, 0.6595)  3 O 2.71-2.83
K (0.3589, 0.1716, 0.9200)  4 O 2.64-2.86
K (0.3589, 0.3284, 0.4200)  4 O 2.64-2.86
K (0.3724, 0.7031, 0.8126)  3 O 2.59-2.82
K (0.3724, 0.7969, 0.3126)  3 O 2.59-2.82
K (0.6276, 0.2031, 0.6874)  3 O 2.59-2.82
K (0.6276, 0.2969, 0.1874)  3 O 2.59-2.82
K (0.6411, 0.6716, 0.5800)  4 O 2.64-2.86
K (0.6411, 0.8284, 0.0800)  4 O 2.64-2.86
K (0.9272, 0.6277, 0.3405)  3 O 2.71-2.83
K (0.9272, 0.8723, 0.8405)  3 O 2.71-2.83
In (0.1633, 0.5935, 0.0688)  4 O 2.05-2.17
In (0.1633, 0.9065, 0.5688)  4 O 2.05-2.17
In (0.8367, 0.0935, 0.4312)  4 O 2.05-2.17
In (0.8367, 0.4065, 0.9312)  4 O 2.05-2.17
O (0.1152, 0.0428, 0.3977)  2 In 2.16-2.17
O (0.1152, 0.4572, 0.8977)  2 In 2.16-2.17
O (0.2621, 0.6352, 0.5418)  1 In 2.06
O (0.2621, 0.8648, 0.0418)  1 In 2.06
O (0.3096, 0.0582, 0.6970)  1 In 2.05
O (0.3096, 0.4418, 0.1970)  1 In 2.05
O (0.6904, 0.5582, 0.8030)  1 In 2.05
O (0.6904, 0.9418, 0.3030)  1 In 2.05
O (0.7379, 0.1352, 0.9582)  1 In 2.06
O (0.7379, 0.3648, 0.4582)  1 In 2.06
O (0.8848, 0.5428, 0.1023)  2 In 2.16-2.17
O (0.8848, 0.9572, 0.6023)  2 In 2.16-2.17

* energy above the lowest structure with this stoichiometry: 0 meV/atom
* calculated density: 3.17 g cm⁻³
* energy relative to the elements, uncorrected: -1.40 eV/atom
* symmetry: P2_1/c, No. 14
* total moment: 0.15 μB/f.u.

=====

11.
KInO2: relaxed, PBE.

Cell lengths 8.8597, 8.8597, 4.8886 Å; angles 90.00, 90.00, 158.95 degrees
Closest atoms and distances in Å follow each position.
Fractional coordinates of all 8 atoms:
K (0.0618, 0.9382, 0.7500)  3 O 2.44-2.54
K (0.9382, 0.0618, 0.2500)  3 O 2.44-2.54
In (0.3167, 0.6833, 0.7500)  3 O 2.00-2.15
In (0.6833, 0.3167, 0.2500)  3 O 2.00-2.15
O (0.1020, 0.8980, 0.2500)  2 In 2.15
O (0.2020, 0.7980, 0.7500)  1 In 2.00
O (0.7980, 0.2020, 0.2500)  1 In 2.00
O (0.8980, 0.1020, 0.7500)  2 In 2.15

* calculated density: 4.48 g cm⁻³
* energy relative to the elements, uncorrected: -1.15 eV/atom
* symmetry: Cmcm, No. 63
* total moment: 0.00 μB/f.u.

=====

12.
KInO2: relaxed, PBE.

Cell lengths 3.5453, 3.5453, 4.7972 Å; angles 90.00, 90.00, 90.00 degrees
Closest atoms and distances in Å follow each position.
Fractional coordinates of all 4 atoms:
K (0.0000, 0.0000, 0.0000)  6 O 2.40-2.51
In (0.5000, 0.5000, 0.5000)  6 O 2.40-2.51
O (0.0000, 0.0000, 0.5000)  2 K 2.40, 4 In 2.51
O (0.5000, 0.5000, 0.0000)  2 In 2.40, 4 K 2.51

* calculated density: 5.12 g cm⁻³
* energy relative to the elements, uncorrected: -0.95 eV/atom
* symmetry: P4/mmm, No. 123
* total moment: 0.00 μB/f.u.